Density functional theory data (PBE-GGA) for a relaxed BeRe2 crystal.

a b c (Å): 5.385 5.385 5.385
angles (deg): 90.00 90.00 90.00
Element x y z (fractional)
Be (0.000, 0.000, 0.000)
Be (0.000, 0.500, 0.500)
Be (0.500, 0.000, 0.500)
Be (0.500, 0.500, 0.000)
Re (0.138, 0.638, 0.862)
Re (0.138, 0.862, 0.362)
Re (0.362, 0.138, 0.862)
Re (0.362, 0.362, 0.362)
Re (0.638, 0.638, 0.638)
Re (0.638, 0.862, 0.138)
Re (0.862, 0.138, 0.638)
Re (0.862, 0.362, 0.138)

As for the space group: Pa-3 (205). Its polymorph energy (0 for the lowest one) is 850 meV per atom. The formation energy comes out at 579 meV/atom. The total energy is -26.89 eV per formula unit.


Density functional theory data (PBE-GGA) for a relaxed CaAlAs3 crystal.

a b c (Å): 5.337 5.337 5.337
angles (deg): 90.00 90.00 90.00
Element x y z (fractional)
Ca (0.000, 0.000, 0.000)
Al (0.500, 0.500, 0.500)
As (0.000, 0.000, 0.500)
As (0.000, 0.500, 0.000)
As (0.500, 0.000, 0.000)

As for the space group: Pm-3m (221). Its polymorph energy (0 for the lowest one) is 897 meV per atom. The formation energy comes out at 810 meV/atom. The total energy is -15.64 eV per formula unit.